Entry 1:
## Ce2NdGa2Ni2 (GGA-PBE)

Data for a relaxed Ce2NdGa2Ni2 crystal. Values from VASP.

```
&SYSTEM
  ibrav = 0, nat = 7, ntyp = 4
/
ATOMIC_SPECIES
Ce 140.12 Ce.upf
Nd 144.24 Nd.upf
Ga 69.72 Ga.upf
Ni 58.69 Ni.upf
CELL_PARAMETERS angstrom
2.165 1.250 8.766
-2.165 1.250 8.766
0.000 -2.500 8.766
ATOMIC_POSITIONS crystal
Ce 0.139 0.139 0.139
Ce 0.861 0.861 0.861
Nd 0.000 0.000 0.000
Ga 0.261 0.261 0.261
Ga 0.739 0.739 0.739
Ni 0.422 0.422 0.422
Ni 0.578 0.578 0.578
```

***

Entry 2:
## CeNd2Ga3Ni4 (GGA-PBE)

Data for a relaxed CeNd2Ga3Ni4 crystal. Values from VASP.

```
&SYSTEM
  ibrav = 0, nat = 10, ntyp = 4
/
ATOMIC_SPECIES
Ce 140.12 Ce.upf
Nd 144.24 Nd.upf
Ga 69.72 Ga.upf
Ni 58.69 Ni.upf
CELL_PARAMETERS angstrom
4.319 0.000 0.000
0.000 4.319 0.000
0.000 0.000 10.006
ATOMIC_POSITIONS crystal
Ce 0.000 0.000 0.000
Nd 0.000 0.500 0.722
Nd 0.500 0.000 0.278
Ga 0.000 0.500 0.385
Ga 0.500 0.000 0.615
Ga 0.500 0.500 0.000
Ni 0.000 0.000 0.500
Ni 0.000 0.500 0.145
Ni 0.500 0.000 0.855
Ni 0.500 0.500 0.500
```

***

Entry 3:
## CeNdGaPb (GGA-PBE)

Data for a relaxed CeNdGaPb crystal. Values from VASP.

```
&SYSTEM
  ibrav = 0, nat = 4, ntyp = 4
/
ATOMIC_SPECIES
Ce 140.12 Ce.upf
Nd 144.24 Nd.upf
Ga 69.72 Ga.upf
Pb 207.20 Pb.upf
CELL_PARAMETERS angstrom
0.000 3.825 3.825
3.825 0.000 3.825
3.825 3.825 0.000
ATOMIC_POSITIONS crystal
Ce 0.000 0.000 0.000
Nd 0.500 0.500 0.500
Ga 0.250 0.250 0.250
Pb 0.750 0.750 0.750
```

***

Entry 4:
## CeNdGa2Pd5 (GGA-PBE)

Data for a relaxed CeNdGa2Pd5 crystal. Values from VASP.

```
&SYSTEM
  ibrav = 0, nat = 9, ntyp = 4
/
ATOMIC_SPECIES
Ce 140.12 Ce.upf
Nd 144.24 Nd.upf
Ga 69.72 Ga.upf
Pd 106.42 Pd.upf
CELL_PARAMETERS angstrom
4.325 0.000 0.000
0.000 4.325 0.000
0.000 0.000 9.167
ATOMIC_POSITIONS crystal
Ce 0.000 0.000 0.000
Nd 0.000 0.000 0.500
Ga 0.500 0.500 0.139
Ga 0.500 0.500 0.861
Pd 0.000 0.500 0.275
Pd 0.000 0.500 0.725
Pd 0.500 0.000 0.275
Pd 0.500 0.000 0.725
Pd 0.500 0.500 0.500
```

***

Entry 5:
## CeNd2Ga3Pd4 (GGA-PBE)

Data for a relaxed CeNd2Ga3Pd4 crystal. Values from VASP.

```
&SYSTEM
  ibrav = 0, nat = 10, ntyp = 4
/
ATOMIC_SPECIES
Ce 140.12 Ce.upf
Nd 144.24 Nd.upf
Ga 69.72 Ga.upf
Pd 106.42 Pd.upf
CELL_PARAMETERS angstrom
4.389 0.000 0.000
0.000 4.389 0.000
0.000 0.000 10.987
ATOMIC_POSITIONS crystal
Ce 0.000 0.000 0.000
Nd 0.000 0.500 0.725
Nd 0.500 0.000 0.275
Ga 0.000 0.500 0.382
Ga 0.500 0.000 0.618
Ga 0.500 0.500 0.000
Pd 0.000 0.000 0.500
Pd 0.000 0.500 0.156
Pd 0.500 0.000 0.844
Pd 0.500 0.500 0.500
```

***

Entry 6:
## CePmNdGa (GGA-PBE)

Data for a relaxed CePmNdGa crystal. Values from VASP.

```
&SYSTEM
  ibrav = 0, nat = 4, ntyp = 4
/
ATOMIC_SPECIES
Ce 140.12 Ce.upf
Pm 145.00 Pm.upf
Nd 144.24 Nd.upf
Ga 69.72 Ga.upf
CELL_PARAMETERS angstrom
0.000 3.815 3.815
3.815 0.000 3.815
3.815 3.815 0.000
ATOMIC_POSITIONS crystal
Ce 0.000 0.000 0.000
Pm 0.250 0.250 0.250
Nd 0.500 0.500 0.500
Ga 0.750 0.750 0.750
```

***

no.,magnetic moment (μB per atom),total DFT energy (no corrections) (Ry per atom)
1,0.00,-0.39535
2,0.00,-0.38620
3,0.32,-0.35031
4,0.09,-0.40371
5,0.05,-0.38750
6,0.00,-0.34307